[1]
SrTlRu2 | Alexandria | GGA-PBEsol | relaxed; calculated formation energy = 0.7741 eV/atom
1.0
-4.541 1.636 -0.351
-1.118 -2.210 4.158
3.684 3.020 -0.220
Ru Sr Tl
2 1 1
Cartesian
0.000 0.000 0.000
-1.843 2.185 0.666
-2.830 -0.287 1.903
-0.132 0.261 2.920

***

[2]
Sr3RuW | Alexandria | GGA-PBEsol | relaxed; calculated formation energy = 1.4431 eV/atom
1.0
-2.863 -3.092 3.501
2.970 -4.374 -1.435
3.605 1.148 3.962
Ru W Sr
1 1 3
Cartesian
0.000 0.000 0.000
1.856 -3.159 3.014
1.485 -2.187 -0.718
1.803 0.574 1.981
-1.431 -1.546 1.750